8
Lattice="4.012 0.000 0.000 0.000 4.012 0.000 0.000 0.000 8.047" Properties=species:S:1:pos:R:3 comment="PBE-GGA NbHgPd6, relaxed" formation_enthalpy_0k_mev_per_atom=-344 volume_a3_per_cell=130 energy_ev_per_atom=-5.535 sg="P4/mmm, No. 123" m_tot_mub_per_cell=0.0 pbc="T T T"
Nb 0.000 0.000 4.023
Hg 0.000 0.000 0.000
Pd 2.006 2.006 0.000
Pd 2.006 2.006 4.023
Pd 2.006 0.000 2.120
Pd 2.006 0.000 5.927
Pd 0.000 2.006 2.120
Pd 0.000 2.006 5.927